# Li2CaIn2Ge2 PBE relaxed
data_Li2CaIn2Ge2
_chemical_formula_sum 'Li6 Ca3 In6 Ge6'
_space_group_name_H-M_alt 'R -3 m'
_space_group_IT_number 166
_space_group_name_Hall '-R 3 2"'
_cell_length_a 4.5327
_cell_length_b 4.5327
_cell_length_c 25.2809
_cell_angle_alpha 90.00
_cell_angle_beta 90.00
_cell_angle_gamma 120.00
loop_
_atom_site_label
_atom_site_fract_x
_atom_site_fract_y
_atom_site_fract_z
_atom_site_occupancy
Li1 0.0000 0.0000 0.1497 1
Ca1 0.0000 0.0000 0.0000 1
In1 0.0000 0.0000 0.4403 1
Ge1 0.0000 0.0000 0.2643 1
# N(E_F) (states/eV/cell): 2.16
# Energy relative to the elements (meV per atom): -342
# Calculated volume (Å³ per cell): 450